[1]
# ScCd2Pd2

An optimized crystal structure of ScCd2Pd2 (GGA-PBE, Alexandria).

Values from the calculation:
crystal system: tetragonal
formation energy from the elements: -0.361 eV per atom
final energy: -4.07 eV per atom
excess energy over the best structure of this formula in the dataset: 161.7 meV per atom
spin magnetization: 0.4 μB/f.u.

Cell and atoms, written as CIF:
```
data_ScCd2Pd2
_cell_length_a 7.8648
_cell_length_b 7.8648
_cell_length_c 3.0763
_cell_angle_alpha 90.00
_cell_angle_beta 90.00
_cell_angle_gamma 90.00
_space_group_name_H-M_alt 'P 1'
_space_group_IT_number 1
_space_group_name_Hall 'P 1'
loop_
_atom_site_label
_atom_site_type_symbol
_atom_site_fract_x
_atom_site_fract_y
_atom_site_fract_z
Sc1 Sc 0.0000 0.0000 0.0000
Sc2 Sc 0.5000 0.5000 0.0000
Cd1 Cd 0.1257 0.3743 0.0000
Cd2 Cd 0.3743 0.8743 0.0000
Cd3 Cd 0.6257 0.1257 0.0000
Cd4 Cd 0.8743 0.6257 0.0000
Pd1 Pd 0.1746 0.6746 0.5000
Pd2 Pd 0.3254 0.1746 0.5000
Pd3 Pd 0.6746 0.8254 0.5000
Pd4 Pd 0.8254 0.3254 0.5000
```


[2]
# TlOsNF2

An optimized crystal structure of TlOsNF2 (GGA-PBE, Alexandria).

Values from the calculation:
crystal system: tetragonal
final energy: -4.12 eV per atom
excess energy over the best structure of this formula in the dataset: 1564.2 meV per atom
spin magnetization: 4.2 μB/f.u.

Cell and atoms, written as CIF:
```
data_TlOsNF2
_cell_length_a 4.4271
_cell_length_b 4.4271
_cell_length_c 4.3116
_cell_angle_alpha 90.00
_cell_angle_beta 90.00
_cell_angle_gamma 90.00
_space_group_name_H-M_alt 'P 1'
_space_group_IT_number 1
_space_group_name_Hall 'P 1'
loop_
_atom_site_label
_atom_site_type_symbol
_atom_site_fract_x
_atom_site_fract_y
_atom_site_fract_z
Tl1 Tl 0.0000 0.0000 0.0000
Os1 Os 0.5000 0.5000 0.5000
N1 N 0.0000 0.0000 0.5000
F1 F 0.0000 0.5000 0.0000
F2 F 0.5000 0.0000 0.0000
```


[3]
# Sm3NpPt12

An optimized crystal structure of Sm3NpPt12 (GGA-PBE, Alexandria).

Values from the calculation:
crystal system: tetragonal
formation energy from the elements: -0.861 eV per atom
final energy: -7.08 eV per atom
spin magnetization: 2.6 μB/f.u.

Cell and atoms, written as CIF:
```
data_Sm3NpPt12
_cell_length_a 4.1683
_cell_length_b 4.1683
_cell_length_c 16.6165
_cell_angle_alpha 90.00
_cell_angle_beta 90.00
_cell_angle_gamma 90.00
_space_group_name_H-M_alt 'P 1'
_space_group_IT_number 1
_space_group_name_Hall 'P 1'
loop_
_atom_site_label
_atom_site_type_symbol
_atom_site_fract_x
_atom_site_fract_y
_atom_site_fract_z
Sm1 Sm 0.0000 0.0000 0.0000
Sm2 Sm 0.0000 0.0000 0.2490
Sm3 Sm 0.0000 0.0000 0.7510
Np1 Np 0.0000 0.0000 0.5000
Pt1 Pt 0.0000 0.5000 0.1255
Pt2 Pt 0.0000 0.5000 0.3793
Pt3 Pt 0.0000 0.5000 0.6207
Pt4 Pt 0.0000 0.5000 0.8745
Pt5 Pt 0.5000 0.0000 0.1255
Pt6 Pt 0.5000 0.0000 0.3793
Pt7 Pt 0.5000 0.0000 0.6207
Pt8 Pt 0.5000 0.0000 0.8745
Pt9 Pt 0.5000 0.5000 0.0000
Pt10 Pt 0.5000 0.5000 0.2515
Pt11 Pt 0.5000 0.5000 0.5000
Pt12 Pt 0.5000 0.5000 0.7485
```


[4]
# CsLiY2Te4

An optimized crystal structure of CsLiY2Te4 (GGA-PBE, Alexandria).

Values from the calculation:
crystal system: orthorhombic
final energy: -4.86 eV per atom
spin magnetization: 0.0 μB/f.u.

Cell and atoms, written as CIF:
```
data_CsLiY2Te4
_cell_length_a 8.0497
_cell_length_b 8.0497
_cell_length_c 15.8666
_cell_angle_alpha 90.00
_cell_angle_beta 90.00
_cell_angle_gamma 147.28
_space_group_name_H-M_alt 'P 1'
_space_group_IT_number 1
_space_group_name_Hall 'P 1'
loop_
_atom_site_label
_atom_site_type_symbol
_atom_site_fract_x
_atom_site_fract_y
_atom_site_fract_z
Cs1 Cs 0.1103 0.8897 0.7500
Cs2 Cs 0.8897 0.1103 0.2500
Li1 Li 0.1712 0.8288 0.2500
Li2 Li 0.8288 0.1712 0.7500
Y1 Y 0.3672 0.6328 0.5623
Y2 Y 0.3672 0.6328 0.9377
Y3 Y 0.6328 0.3672 0.0623
Y4 Y 0.6328 0.3672 0.4377
Te1 Te 0.0000 0.0000 0.0000
Te2 Te 0.0000 0.0000 0.5000
Te3 Te 0.2616 0.7384 0.1035
Te4 Te 0.2616 0.7384 0.3965
Te5 Te 0.4222 0.5778 0.7500
Te6 Te 0.5778 0.4222 0.2500
Te7 Te 0.7384 0.2616 0.6035
Te8 Te 0.7384 0.2616 0.8965
```